Cs2CeBr2O2: relaxed, GGA-PBE.

- SG = No. 139
- uncorrected formation energy (eV/atom) = -2.180
- crystal system = tetragonal

a = 4.628 Å, b = 4.628 Å, c = 9.913 Å
α = 103.50°, β = 103.50°, γ = 90.00°
Fractional positions:
Cs 0.375 0.375 0.751
Cs 0.625 0.625 0.249
Ce 0.000 0.000 0.000
Br 0.164 0.164 0.329
Br 0.836 0.836 0.671
O 0.000 0.500 0.000
O 0.500 0.000 0.000



CsCePb2Br8: relaxed, GGA-PBE.

- SG = No. 2
- uncorrected formation energy (eV/atom) = -1.334
- crystal system = triclinic

a = 7.372 Å, b = 7.051 Å, c = 9.593 Å
α = 89.81°, β = 89.84°, γ = 89.01°
Fractional positions:
Cs 0.000 0.000 0.500
Ce 0.000 0.000 0.000
Pb 0.500 0.500 0.749
Pb 0.500 0.500 0.251
Br 0.159 0.747 0.210
Br 0.675 0.753 0.000
Br 0.840 0.252 0.209
Br 0.841 0.253 0.790
Br 0.325 0.247 0.000
Br 0.160 0.748 0.791
Br 0.603 0.733 0.499
Br 0.397 0.267 0.501



CsCePmBr6: relaxed, GGA-PBE.

- SG = No. 74
- uncorrected formation energy (eV/atom) = -1.704
- crystal system = orthorhombic

a = 10.635 Å, b = 10.220 Å, c = 10.465 Å
α = 119.23°, β = 120.54°, γ = 90.00°
Fractional positions:
Cs 0.866 0.616 0.731
Cs 0.134 0.384 0.269
Ce 0.500 0.500 0.000
Ce 0.500 0.000 0.000
Pm 0.500 0.000 0.500
Pm 0.000 0.000 0.500
Br 0.395 0.645 0.789
Br 0.831 0.081 0.662
Br 0.847 0.089 0.247
Br 0.401 0.658 0.247
Br 0.401 0.089 0.247
Br 0.847 0.658 0.247
Br 0.605 0.355 0.211
Br 0.169 0.919 0.338
Br 0.153 0.911 0.753
Br 0.599 0.342 0.753
Br 0.599 0.911 0.753
Br 0.153 0.342 0.753



CsCePrBr6: relaxed, GGA-PBE.

- SG = No. 74
- uncorrected formation energy (eV/atom) = -1.706
- crystal system = orthorhombic

a = 10.345 Å, b = 10.697 Å, c = 10.532 Å
α = 120.52°, β = 119.41°, γ = 90.00°
Fractional positions:
Cs 0.889 0.639 0.779
Cs 0.111 0.361 0.221
Ce 0.500 0.500 0.000
Ce 0.500 0.000 0.000
Pr 0.500 0.000 0.500
Pr 0.000 0.000 0.500
Br 0.412 0.662 0.825
Br 0.849 0.099 0.698
Br 0.847 0.093 0.252
Br 0.405 0.659 0.252
Br 0.405 0.093 0.252
Br 0.847 0.659 0.252
Br 0.588 0.338 0.175
Br 0.151 0.901 0.302
Br 0.153 0.907 0.748
Br 0.595 0.341 0.748
Br 0.595 0.907 0.748
Br 0.153 0.341 0.748



CsCePuBr6: relaxed, GGA-PBE.

- SG = No. 74
- uncorrected formation energy (eV/atom) = -1.647
- crystal system = orthorhombic

a = 10.645 Å, b = 10.914 Å, c = 10.846 Å
α = 120.21°, β = 119.39°, γ = 90.00°
Fractional positions:
Cs 0.935 0.685 0.869
Cs 0.065 0.315 0.131
Ce 0.500 0.500 0.000
Ce 0.500 0.000 0.000
Pu 0.500 0.000 0.500
Pu 0.000 0.000 0.500
Br 0.425 0.675 0.850
Br 0.831 0.081 0.662
Br 0.831 0.072 0.243
Br 0.413 0.671 0.243
Br 0.413 0.072 0.243
Br 0.831 0.671 0.243
Br 0.575 0.325 0.150
Br 0.169 0.919 0.338
Br 0.169 0.928 0.757
Br 0.587 0.329 0.757
Br 0.587 0.928 0.757
Br 0.169 0.329 0.757



CsRbCeBr6: relaxed, GGA-PBE.

- SG = No. 163
- uncorrected formation energy (eV/atom) = -1.714
- crystal system = trigonal

a = 8.481 Å, b = 8.481 Å, c = 14.057 Å
α = 90.00°, β = 90.00°, γ = 120.00°
Fractional positions:
Cs 0.000 0.000 0.000
Cs 0.000 0.000 0.500
Rb 0.333 0.667 0.250
Rb 0.667 0.333 0.750
Ce 0.667 0.333 0.250
Ce 0.333 0.667 0.750
Br 0.660 0.601 0.135
Br 0.941 0.340 0.135
Br 0.340 0.941 0.635
Br 0.059 0.660 0.865
Br 0.399 0.340 0.365
Br 0.941 0.601 0.365
Br 0.601 0.941 0.865
Br 0.660 0.059 0.365
Br 0.059 0.399 0.635
Br 0.399 0.059 0.135
Br 0.601 0.660 0.635
Br 0.340 0.399 0.865



Cs2CeSe2Br2: relaxed, GGA-PBE.

- SG = No. 139
- uncorrected formation energy (eV/atom) = -1.672
- crystal system = tetragonal

a = 5.612 Å, b = 5.612 Å, c = 10.046 Å
α = 106.22°, β = 106.22°, γ = 90.00°
Fractional positions:
Cs 0.362 0.362 0.723
Cs 0.638 0.638 0.277
Ce 0.000 0.000 0.000
Se 0.000 0.500 0.000
Se 0.500 0.000 0.000
Br 0.159 0.159 0.318
Br 0.841 0.841 0.682



CsCeSeBr2: relaxed, GGA-PBE.

- SG = No. 63
- uncorrected formation energy (eV/atom) = -1.740
- crystal system = orthorhombic

a = 4.312 Å, b = 10.466 Å, c = 8.580 Å
α = 90.00°, β = 90.00°, γ = 101.89°
Fractional positions:
Cs 0.708 0.416 0.750
Cs 0.292 0.584 0.250
Ce 0.000 0.000 0.000
Ce 0.000 0.000 0.500
Se 0.509 0.018 0.750
Se 0.491 0.982 0.250
Br 0.140 0.281 0.027
Br 0.860 0.719 0.973
Br 0.140 0.281 0.473
Br 0.860 0.719 0.527



- Which of these has the highest uncorrected formation energy?
  CsCePb2Br8



- Which formula does entry 8 have?
  CsCeSeBr2



- Number 4 is which compound?
  CsCePrBr6